HfP2O7: relaxed, GGA-PBEsol.

**Space-group type**: No. 205
**Calculated volume**: 14.91 Å³/atom
**Energy relative to the lowest polymorph listed for this composition**: 0.14 eV/f.u.
**VASP energy**: -343.431 eV per cell

Lattice parameters (Å, degrees): 8.4179 8.4179 8.4179 90.00 90.00 90.00
Fractional positions:
O (0.5577, 0.7215, 0.0787)
O (0.2785, 0.9213, 0.4423)
P (0.3918, 0.3918, 0.3918)
O (0.7215, 0.0787, 0.5577)
O (0.2215, 0.0787, 0.9423)
O (0.7215, 0.4213, 0.0577)
Hf (0.5000, 0.0000, 0.5000)
O (0.0000, 0.5000, 0.0000)
O (0.4213, 0.0577, 0.7215)
O (0.5000, 0.0000, 0.0000)
P (0.8918, 0.3918, 0.1082)
O (0.2215, 0.4213, 0.4423)
O (0.0577, 0.7215, 0.4213)
Hf (0.5000, 0.5000, 0.0000)
O (0.4423, 0.2215, 0.4213)
O (0.5577, 0.7785, 0.5787)
P (0.1082, 0.8918, 0.3918)
O (0.9213, 0.0577, 0.7785)
P (0.8918, 0.1082, 0.6082)
P (0.6082, 0.8918, 0.1082)
O (0.9423, 0.2785, 0.5787)
O (0.4423, 0.2785, 0.9213)
O (0.4213, 0.4423, 0.2215)
O (0.0787, 0.9423, 0.2215)
O (0.5000, 0.5000, 0.5000)
O (0.5787, 0.5577, 0.7785)
O (0.0787, 0.5577, 0.7215)
P (0.1082, 0.6082, 0.8918)
O (0.9423, 0.2215, 0.0787)
O (0.0577, 0.7785, 0.9213)
O (0.0000, 0.0000, 0.5000)
Hf (0.0000, 0.0000, 0.0000)
P (0.3918, 0.1082, 0.8918)
O (0.9213, 0.4423, 0.2785)
P (0.6082, 0.6082, 0.6082)
Hf (0.0000, 0.5000, 0.5000)
O (0.7785, 0.9213, 0.0577)
O (0.5787, 0.9423, 0.2785)
O (0.2785, 0.5787, 0.9423)
O (0.7785, 0.5787, 0.5577)

=====

HfP2O7: relaxed, GGA-PBEsol.

**Space-group type**: No. 14
**Calculated volume**: 14.94 Å³/atom
**Energy relative to the lowest polymorph listed for this composition**: 0.00 eV/f.u.
**VASP energy**: -343.977 eV per cell

Lattice parameters (Å, degrees): 5.3802 8.5715 12.9578 90.00 90.00 89.90
Fractional positions:
O (0.2507, 0.0765, 0.3862)
O (0.0068, 0.6941, 0.9703)
P (0.2405, 0.3048, 0.9733)
P (0.2595, 0.1952, 0.4733)
O (0.9932, 0.3059, 0.0297)
O (0.9665, 0.6281, 0.7523)
P (0.2528, 0.4335, 0.3091)
Hf (0.7465, 0.3412, 0.1476)
O (0.9995, 0.1190, 0.7647)
O (0.2680, 0.1346, 0.9235)
P (0.7595, 0.6952, 0.0267)
O (0.7399, 0.1087, 0.1762)
Hf (0.2535, 0.6588, 0.8524)
O (0.7680, 0.6346, 0.5765)
Hf (0.2465, 0.8412, 0.3524)
O (0.2493, 0.4235, 0.8862)
P (0.2472, 0.0665, 0.8091)
O (0.4995, 0.6190, 0.7353)
O (0.0335, 0.3719, 0.2477)
O (0.2601, 0.8913, 0.8238)
O (0.4665, 0.1281, 0.7477)
O (0.0413, 0.1815, 0.5470)
O (0.4932, 0.8059, 0.4703)
Hf (0.7535, 0.1588, 0.6476)
O (0.7507, 0.5765, 0.1138)
O (0.7601, 0.3913, 0.6762)
O (0.0005, 0.8810, 0.2353)
O (0.4587, 0.3185, 0.0470)
P (0.7472, 0.5665, 0.6909)
O (0.5335, 0.8719, 0.2523)
O (0.2320, 0.3654, 0.4235)
O (0.7320, 0.8654, 0.0765)
O (0.5068, 0.1941, 0.5297)
P (0.7528, 0.9335, 0.1909)
O (0.5413, 0.6815, 0.9530)
O (0.9587, 0.8185, 0.4530)
P (0.7405, 0.8048, 0.5267)
O (0.7493, 0.9235, 0.6138)
O (0.2399, 0.6087, 0.3238)
O (0.5005, 0.3810, 0.2647)

=====

HfPO2: relaxed, GGA-PBEsol.

**Space-group type**: No. 122
**Calculated volume**: 18.32 Å³/atom
**VASP energy**: -65.456 eV per cell

Lattice parameters (Å, degrees): 5.6797 6.0644 5.6797 62.08 90.00 117.92
Fractional positions:
P (0.5000, 0.0000, 0.5000)
P (0.2500, 0.5000, 0.2500)
Hf (0.7500, 0.5000, 0.7500)
Hf (0.0000, 0.0000, 0.0000)
O (0.9870, 0.7500, 0.8750)
O (0.7630, 0.7500, 0.3750)
O (0.3750, 0.2500, 0.9870)
O (0.8750, 0.2500, 0.7630)

=====

HfP3O: relaxed, GGA-PBEsol.

**Space-group type**: No. 221
**Calculated volume**: 23.26 Å³/atom
**VASP energy**: -28.298 eV per cell

Lattice parameters (Å, degrees): 4.8813 4.8813 4.8813 90.00 90.00 90.00
Each line ends with the local moment (μB).
Fractional positions:
O (0.5000, 0.5000, 0.5000)  1.21
P (0.0000, 0.5000, 0.0000)  -0.01
Hf (0.0000, 0.0000, 0.0000)  0.02
P (0.0000, 0.0000, 0.5000)  -0.01
P (0.5000, 0.0000, 0.0000)  -0.01